1.
The following is a DFT calculation (PBE) of a relaxed structure of Ac4TbDy2.

a b c (Å): 7.5623 7.5623 12.4374
angles (deg): 97.49 97.49 124.83
Positions (direct):
1 Ac 0.7899 0.8041 0.3100
2 Ac 0.2925 0.8074 0.8100
3 Dy 0.1175 0.3677 0.9477
4 Ac 0.2323 0.2473 0.6901
5 Ac 0.8074 0.2925 0.3100
6 Ac 0.2473 0.2323 0.1901
7 Dy 0.9198 0.6696 0.5527
8 Ac 0.8041 0.7899 0.8100
9 Ac 0.2305 0.7446 0.1907
10 Tb 0.6441 0.3940 0.0003
11 Dy 0.6696 0.9198 0.0527
12 Dy 0.3677 0.1175 0.4477
13 Tb 0.3940 0.6441 0.5003
14 Ac 0.7445 0.2305 0.6907

- Total moment: 0.0 μB/f.u.
- ΔH_f (0 K): 19.9 kJ per mole of atoms
- Final energy: -57.64 eV/cell



2.
The following is a DFT calculation (PBE) of a relaxed structure of Ac3Tb3Dy.

a b c (Å): 9.9048 9.9048 8.3749
angles (deg): 53.75 53.75 60.00
Positions (direct):
1 Ac 0.8854 0.0426 0.7474
2 Dy 0.2573 0.2573 0.2282
3 Tb 0.5988 0.4676 0.7504
4 Ac 0.0426 0.3246 0.7474
5 Ac 0.1146 0.9574 0.2526
6 Ac 0.9574 0.6754 0.2526
7 Tb 0.4012 0.5324 0.2496
8 Tb 0.1832 0.5988 0.7504
9 Ac 0.3246 0.8854 0.7474
10 Ac 0.6754 0.1146 0.2526
11 Tb 0.4676 0.1832 0.7504
12 Tb 0.8168 0.4012 0.2496
13 Tb 0.5324 0.8168 0.2496
14 Dy 0.7427 0.7427 0.7718

- Total moment: 0.0 μB/f.u.
- ΔH_f (0 K): 6.0 kJ per mole of atoms
- Final energy: -60.77 eV/cell



3.
The following is a DFT calculation (PBE) of a relaxed structure of Ac3Tb12Dy.

a b c (Å): 5.1431 5.1431 20.5724
angles (deg): 90.00 90.00 90.00
Positions (direct):
1 Tb 0.5000 0.5000 0.5000
2 Tb 0.0000 0.5000 0.8806
3 Tb 0.5000 0.5000 0.0000
4 Ac 0.0000 0.0000 0.7524
5 Tb 0.5000 0.0000 0.1194
6 Ac 0.0000 0.0000 0.2476
7 Tb 0.5000 0.5000 0.2463
8 Ac 0.0000 0.0000 0.5000
9 Tb 0.0000 0.5000 0.1194
10 Tb 0.0000 0.5000 0.3734
11 Tb 0.5000 0.0000 0.6266
12 Tb 0.5000 0.0000 0.3734
13 Tb 0.5000 0.0000 0.8806
14 Tb 0.5000 0.5000 0.7537
15 Tb 0.0000 0.5000 0.6266
16 Dy 0.0000 0.0000 0.0000

- Total moment: 0.0 μB/f.u.
- ΔH_f (0 K): 4.4 kJ per mole of atoms
- Final energy: -71.76 eV/cell



4.
The following is a DFT calculation (PBE) of a relaxed structure of AcTb8Dy6.

a b c (Å): 9.0585 9.0585 8.6943
angles (deg): 58.60 58.60 60.00
Positions (direct):
1 Dy 0.4675 0.8986 0.8761
2 Tb 0.1117 0.7438 0.4258
3 Tb 0.7186 0.1117 0.4258
4 Dy 0.8986 0.7578 0.8761
5 Tb 0.2814 0.8883 0.5742
6 Dy 0.2422 0.5325 0.1239
7 Tb 0.2562 0.2814 0.5742
8 Dy 0.5325 0.1014 0.1239
9 Tb 0.7438 0.7186 0.4258
10 Tb 0.4230 0.4230 0.7309
11 Ac 0.0000 0.0000 0.0000
12 Dy 0.1014 0.2422 0.1239
13 Dy 0.7578 0.4675 0.8761
14 Tb 0.8883 0.2562 0.5742
15 Tb 0.5770 0.5770 0.2691

- Total moment: 0.0 μB/f.u.
- ΔH_f (0 K): 14.2 kJ per mole of atoms
- Energy above the lowest structure with this stoichiometry: 0 meV per atom
- Final energy: -66.56 eV/cell



5.
The following is a DFT calculation (PBE) of a relaxed structure of AcTb2Dy5.

a b c (Å): 7.2161 7.2061 20.2531
angles (deg): 90.00 90.00 90.00
Positions (direct):
1 Dy 0.2559 0.5000 0.5000
2 Dy 0.0000 0.7499 0.8748
3 Tb 0.5000 0.2502 0.3749
4 Dy 0.7441 0.5000 0.5000
5 Dy 0.2560 0.0001 0.2500
6 Ac 0.0000 0.2499 0.8748
7 Tb 0.2558 0.5000 0.0000
8 Tb 0.7442 0.0000 0.5000
9 Dy 0.7440 0.4999 0.7500
10 Dy 0.7440 0.0001 0.2500
11 Dy 0.7440 0.9999 0.7500
12 Dy 0.2560 0.9999 0.7500
13 Dy 0.7441 0.0000 0.0000
14 Tb 0.5000 0.7498 0.6251
15 Ac 0.0000 0.2501 0.3748
16 Dy 0.5000 0.7501 0.3749
17 Dy 0.2559 0.0000 0.0000
18 Tb 0.2558 0.0000 0.5000
19 Dy 0.5000 0.7499 0.8749
20 Dy 0.5000 0.2501 0.1251
21 Tb 0.5000 0.7502 0.1251
22 Ac 0.0000 0.7501 0.1252
23 Tb 0.7442 0.5000 0.0000
24 Dy 0.7440 0.5001 0.2500
25 Dy 0.0000 0.7501 0.3748
26 Dy 0.5000 0.2499 0.6251
27 Tb 0.5000 0.2498 0.8749
28 Dy 0.2560 0.5001 0.2500
29 Dy 0.0000 0.2501 0.1252
30 Dy 0.0000 0.2499 0.6252
31 Dy 0.2560 0.4999 0.7500
32 Ac 0.0000 0.7499 0.6252

- Total moment: 0.0 μB/f.u.
- ΔH_f (0 K): 3.3 kJ per mole of atoms
- Final energy: -144.42 eV/cell



6.
The following is a DFT calculation (PBE) of a relaxed structure of Ac2Tb3Dy4.

a b c (Å): 3.6822 3.6822 26.8004
angles (deg): 90.00 90.00 120.00
Positions (direct):
1 Tb 0.0000 0.0000 0.3321
2 Ac 0.6667 0.3333 0.8650
3 Dy 0.6667 0.3333 0.4373
4 Dy 0.6667 0.3333 0.2294
5 Dy 0.0000 0.0000 0.5410
6 Dy 0.0000 0.0000 0.7500
7 Ac 0.6667 0.3333 0.0947
8 Tb 0.6667 0.3333 0.6458
9 Tb 0.0000 0.0000 0.9819

- Total moment: 0.0 μB/f.u.
- ΔH_f (0 K): 8.1 kJ per mole of atoms
- Final energy: -39.76 eV/cell



7.
The following is a DFT calculation (PBE) of a relaxed structure of AcTb3Dy.

a b c (Å): 6.7088 11.3566 11.3566
angles (deg): 53.14 86.22 86.22
Positions (direct):
1 Tb 0.6057 0.5218 0.6292
2 Ac 0.2500 0.2525 0.7475
3 Tb 0.3934 0.2442 0.0518
4 Tb 0.9106 0.4225 0.9090
5 Ac 0.7500 0.7475 0.2525
6 Ac 0.2500 0.8931 0.1069
7 Tb 0.4106 0.9090 0.4225
8 Dy 0.1646 0.2066 0.3597
9 Dy 0.8354 0.7934 0.6403
10 Tb 0.8943 0.3708 0.4782
11 Tb 0.3943 0.4782 0.3708
12 Dy 0.6646 0.3597 0.2066
13 Dy 0.3354 0.6403 0.7934
14 Ac 0.7500 0.1069 0.8931
15 Tb 0.1066 0.9482 0.7558
16 Tb 0.8934 0.0518 0.2442
17 Tb 0.1057 0.6292 0.5218
18 Tb 0.6066 0.7558 0.9482
19 Tb 0.5894 0.0910 0.5775
20 Tb 0.0894 0.5775 0.0910

- Total moment: 0.0 μB/f.u.
- ΔH_f (0 K): 8.7 kJ per mole of atoms
- Energy above the lowest structure with this stoichiometry: 0 meV per atom
- Final energy: -88.60 eV/cell



8.
The following is a DFT calculation (PBE) of a relaxed structure of AcTb7Dy3.

a b c (Å): 9.0004 9.8718 5.6140
angles (deg): 90.01 128.58 104.46
Positions (direct):
1 Ac 0.5000 0.5000 0.5000
2 Tb 0.3541 0.7113 0.8543
3 Dy 0.2244 0.0060 0.7246
4 Tb 0.5000 0.0000 0.5000
5 Tb 0.1663 0.3552 0.6664
6 Tb 0.8337 0.6448 0.3336
7 Tb 0.9326 0.8332 0.9325
8 Dy 0.7756 0.9940 0.2754
9 Tb 0.6459 0.2887 0.1457
10 Dy 0.0000 0.5000 0.0000
11 Tb 0.0674 0.1668 0.0675

- Total moment: 0.0 μB/f.u.
- ΔH_f (0 K): 13.6 kJ per mole of atoms
- Energy above the lowest structure with this stoichiometry: 0 meV per atom
- Final energy: -48.78 eV/cell



9.
The following is a DFT calculation (PBE) of a relaxed structure of Ac3TbDy2.

a b c (Å): 7.5190 6.5593 12.5123
angles (deg): 110.58 90.00 124.97
Positions (direct):
1 Ac 0.0426 0.3341 0.0834
2 Ac 0.6259 0.0000 0.2500
3 Dy 0.7907 0.3325 0.5831
4 Ac 0.7085 0.6659 0.4166
5 Tb 0.8743 0.0000 0.7500
6 Dy 0.4582 0.6675 0.9169
7 Ac 0.9574 0.6659 0.9166
8 Dy 0.5418 0.3325 0.0831
9 Tb 0.1257 0.0000 0.2500
10 Ac 0.3741 0.0000 0.7500
11 Ac 0.2915 0.3341 0.5834
12 Dy 0.2093 0.6675 0.4169

- Total moment: 0.0 μB/f.u.
- ΔH_f (0 K): 7.7 kJ per mole of atoms
- Final energy: -51.37 eV/cell



10.
The following is a DFT calculation (PBE) of a relaxed structure of AcTb5Dy2.

a b c (Å): 10.2089 7.2152 14.4294
angles (deg): 90.00 90.00 90.00
Positions (direct):
1 Dy 0.7413 0.0000 0.5000
2 Dy 0.2587 0.5000 0.0000
3 Ac 0.0000 0.2499 0.3754
4 Tb 0.0000 0.7502 0.8749
5 Ac 0.0000 0.7499 0.1246
6 Tb 0.7418 0.9998 0.2501
7 Tb 0.7418 0.5002 0.7501
8 Tb 0.5000 0.7501 0.8750
9 Tb 0.0000 0.2498 0.1251
10 Tb 0.2582 0.0002 0.7499
11 Tb 0.5000 0.7499 0.3750
12 Tb 0.5000 0.2501 0.6250
13 Dy 0.5000 0.2501 0.8750
14 Tb 0.5000 0.2499 0.1250
15 Dy 0.5000 0.7501 0.6250
16 Tb 0.0000 0.2502 0.6251
17 Tb 0.2586 0.0000 0.0000
18 Tb 0.7418 0.0002 0.7499
19 Ac 0.0000 0.7501 0.6246
20 Ac 0.0000 0.2501 0.8754
21 Dy 0.7413 0.5000 0.0000
22 Tb 0.7414 0.5000 0.5000
23 Tb 0.7414 0.0000 0.0000
24 Tb 0.2582 0.9998 0.2501
25 Tb 0.2586 0.5000 0.5000
26 Dy 0.2587 0.0000 0.5000
27 Tb 0.0000 0.7498 0.3749
28 Dy 0.5000 0.2499 0.3750
29 Dy 0.5000 0.7499 0.1250
30 Tb 0.7418 0.4998 0.2499
31 Tb 0.2582 0.5002 0.7501
32 Tb 0.2582 0.4998 0.2499

- Total moment: 0.0 μB/f.u.
- ΔH_f (0 K): 3.6 kJ per mole of atoms
- Final energy: -144.66 eV/cell



11.
The following is a DFT calculation (PBE) of a relaxed structure of Ac2TbDy4.

a b c (Å): 3.6346 3.6462 18.8781
angles (deg): 90.00 95.52 90.00
Positions (direct):
1 Dy 0.3697 0.0000 0.7394
2 Ac 0.2040 0.5000 0.4079
3 Tb 0.5000 0.0000 0.0000
4 Dy 0.6303 0.0000 0.2606
5 Dy 0.9347 0.5000 0.8694
6 Ac 0.7960 0.5000 0.5921
7 Dy 0.0653 0.5000 0.1306

- Total moment: 0.0 μB/f.u.
- ΔH_f (0 K): 9.2 kJ per mole of atoms
- Final energy: -30.59 eV/cell



12.
The following is a DFT calculation (PBE) of a relaxed structure of Ac2TbDy2.

a b c (Å): 12.8246 6.5759 9.9986
angles (deg): 109.19 146.75 90.01
Positions (direct):
1 Ac 0.2377 0.8798 0.0870
2 Dy 0.7432 0.3094 0.2939
3 Dy 0.2568 0.6906 0.7061
4 Ac 0.2610 0.2924 0.9112
5 Dy 0.7494 0.9272 0.4990
6 Ac 0.7623 0.1202 0.9130
7 Tb 0.7552 0.5139 0.7038
8 Dy 0.2506 0.0728 0.5010
9 Tb 0.2448 0.4861 0.2962
10 Ac 0.7390 0.7076 0.0888

- Total moment: 0.0 μB/f.u.
- ΔH_f (0 K): 6.7 kJ per mole of atoms
- Final energy: -43.41 eV/cell



13.
The following is a DFT calculation (PBE) of a relaxed structure of AcTbDy.

a b c (Å): 3.7328 3.7328 8.1420
angles (deg): 103.25 103.25 90.00
Positions (direct):
1 Tb 0.3269 0.3269 0.6538
2 Dy 0.6729 0.6729 0.3458
3 Ac 0.0002 0.0002 0.0005

- Total moment: 0.0 μB/f.u.
- ΔH_f (0 K): 5.6 kJ per mole of atoms
- Energy above the lowest structure with this stoichiometry: 0 meV per atom
- Final energy: -13.17 eV/cell



14.
The following is a DFT calculation (PBE) of a relaxed structure of Ac2Tb4Dy5.

a b c (Å): 3.6421 9.3224 12.3667
angles (deg): 112.95 98.47 90.00
Positions (direct):
1 Tb 0.6848 0.5306 0.3695
2 Dy 0.8675 0.8072 0.7350
3 Ac 0.8892 0.2026 0.7785
4 Dy 0.1325 0.1928 0.2650
5 Dy 0.5000 0.0000 0.0000
6 Tb 0.3152 0.4694 0.6305
7 Tb 0.0458 0.3761 0.0916
8 Ac 0.1108 0.7974 0.2215
9 Dy 0.2664 0.8701 0.5328
10 Tb 0.9542 0.6239 0.9084
11 Dy 0.7336 0.1299 0.4672

- Total moment: 0.0 μB/f.u.
- ΔH_f (0 K): 13.8 kJ per mole of atoms
- Final energy: -48.17 eV/cell



15.
The following is a DFT calculation (PBE) of a relaxed structure of Ac8Tb2Dy.

a b c (Å): 5.5320 8.6634 10.1836
angles (deg): 104.92 105.76 90.00
Positions (direct):
1 Tb 0.7737 0.3676 0.5474
2 Ac 0.9528 0.2702 0.9056
3 Ac 0.1384 0.1904 0.2769
4 Tb 0.2263 0.6324 0.4526
5 Ac 0.5942 0.4528 0.1884
6 Ac 0.8616 0.8096 0.7231
7 Ac 0.4058 0.5472 0.8116
8 Ac 0.6816 0.9152 0.3632
9 Dy 0.5000 0.0000 0.0000
10 Ac 0.0472 0.7298 0.0944
11 Ac 0.3184 0.0848 0.6368

- Total moment: 0.0 μB/f.u.
- ΔH_f (0 K): 4.8 kJ per mole of atoms
- Final energy: -46.18 eV/cell



16.
The following is a DFT calculation (PBE) of a relaxed structure of AcTb12Dy6.

a b c (Å): 9.2957 9.2957 9.2957
angles (deg): 107.39 107.39 107.39
Positions (direct):
1 Dy 0.7408 0.3061 0.3061
2 Ac 0.0000 0.0000 0.0000
3 Tb 0.1108 0.8892 0.5000
4 Tb 0.3857 0.3857 0.1669
5 Tb 0.6143 0.6143 0.8331
6 Dy 0.3061 0.7408 0.3061
7 Tb 0.1669 0.3857 0.3857
8 Tb 0.5000 0.1108 0.8892
9 Tb 0.6143 0.8331 0.6143
10 Dy 0.6939 0.6939 0.2592
11 Tb 0.8892 0.5000 0.1108
12 Dy 0.3061 0.3061 0.7408
13 Tb 0.8892 0.1108 0.5000
14 Dy 0.6939 0.2592 0.6939
15 Tb 0.3857 0.1669 0.3857
16 Tb 0.5000 0.8892 0.1108
17 Tb 0.8331 0.6143 0.6143
18 Tb 0.1108 0.5000 0.8892
19 Dy 0.2592 0.6939 0.6939

- Total moment: 0.0 μB/f.u.
- ΔH_f (0 K): 40.0 kJ per mole of atoms
- Final energy: -79.40 eV/cell



17.
The following is a DFT calculation (PBE) of a relaxed structure of Ac5Tb4Dy.

a b c (Å): 3.8638 3.8638 25.3442
angles (deg): 90.00 90.00 90.00
Positions (direct):
1 Dy 0.0000 0.0000 0.0000
2 Ac 0.5000 0.5000 0.9004
3 Tb 0.0000 0.0000 0.1996
4 Tb 0.0000 0.0000 0.6002
5 Tb 0.0000 0.0000 0.8004
6 Ac 0.5000 0.5000 0.0996
7 Ac 0.5000 0.5000 0.5000
8 Ac 0.5000 0.5000 0.7003
9 Ac 0.5000 0.5000 0.2997
10 Tb 0.0000 0.0000 0.3998

- Total moment: 0.0 μB/f.u.
- ΔH_f (0 K): 4.7 kJ per mole of atoms
- Final energy: -43.18 eV/cell



18.
The following is a DFT calculation (PBE) of a relaxed structure of AcTbDy2.

a b c (Å): 4.1751 4.1751 8.0280
angles (deg): 90.00 90.00 90.00
Positions (direct):
1 Ac 0.5000 0.5000 0.5000
2 Dy 0.0000 0.0000 0.2257
3 Tb 0.5000 0.5000 0.0000
4 Dy 0.0000 0.0000 0.7743

- Total moment: 0.0 μB/f.u.
- ΔH_f (0 K): 11.2 kJ per mole of atoms
- Energy above the lowest structure with this stoichiometry: 70 meV per atom
- Final energy: -17.48 eV/cell



19.
The following is a DFT calculation (PBE) of a relaxed structure of Ac4Tb3Dy.

a b c (Å): 5.3866 10.5048 10.7734
angles (deg): 90.00 90.00 90.00
Positions (direct):
1 Tb 0.5644 0.3907 0.7498
2 Ac 0.0644 0.8615 0.5000
3 Tb 0.5644 0.3907 0.2502
4 Ac 0.0644 0.1386 0.2500
5 Tb 0.0644 0.6093 0.7502
6 Tb 0.0644 0.3909 0.5000
7 Ac 0.0644 0.1386 0.7500
8 Dy 0.0644 0.3906 0.0000
9 Ac 0.0644 0.8617 0.0000
10 Ac 0.5644 0.8614 0.2500
11 Dy 0.5644 0.6094 0.5000
12 Tb 0.0644 0.6093 0.2498
13 Ac 0.5644 0.8614 0.7500
14 Tb 0.5644 0.6091 0.0000
15 Ac 0.5644 0.1383 0.5000
16 Ac 0.5644 0.1385 0.0000

- Total moment: 0.0 μB/f.u.
- ΔH_f (0 K): 5.8 kJ per mole of atoms
- Final energy: -68.90 eV/cell